Density functional theory data (PBE) for a relaxed ZnTc2Au crystal.

Unit cell a=4.6926 b=4.6926 c=4.9800 alpha=82.70 beta=82.70 gamma=34.37
Positions (direct):
Au 0.7497 0.7497 0.7250
Tc 0.2503 0.2503 0.2237
Tc 0.9999 0.9999 0.0388
Zn 0.5001 0.5001 0.5125

Results
SG: Cm
DFT formation energy (eV per formula unit): 0.6